1.
Crystalline CoTc at its relaxed geometry. Source: Alexandria, functional GGA-PBE.

Cell: 2.686 2.686 8.270 Å, 90.00 90.00 120.00°
Element x y z (fractional)
Tc 0.333 0.667 0.756
Tc 0.000 0.000 0.494
Co 0.000 0.000 0.010
Co 0.333 0.667 0.240



2.
Crystalline Pm2Pr5Pt5 at its relaxed geometry. Source: Alexandria, functional GGA-PBE.

Cell: 4.093 7.259 12.487 Å, 103.58 90.00 106.38°
Element x y z (fractional)
Pr 0.345 0.689 0.952
Pt 0.000 0.000 0.000
Pm 0.040 0.080 0.784
Pm 0.960 0.920 0.216
Pr 0.655 0.311 0.048
Pt 0.117 0.233 0.420
Pt 0.305 0.610 0.187
Pt 0.695 0.390 0.813
Pr 0.254 0.507 0.642
Pt 0.883 0.767 0.580
Pr 0.746 0.493 0.358
Pr 0.500 0.000 0.500



3.
Crystalline Li2Ag7Sn3 at its relaxed geometry. Source: Alexandria, functional GGA-PBE.

Cell: 3.130 4.724 16.082 Å, 93.03 90.00 90.00°
Element x y z (fractional)
Sn 0.000 0.779 0.629
Sn 0.500 0.500 0.000
Ag 0.500 0.740 0.451
Li 0.500 0.301 0.711
Li 0.500 0.699 0.289
Ag 0.000 0.000 0.000
Ag 0.500 0.180 0.191
Ag 0.500 0.820 0.809
Ag 0.000 0.327 0.849
Ag 0.000 0.673 0.151
Sn 0.000 0.221 0.371
Ag 0.500 0.260 0.549



4.
Crystalline LiZn5Ga2 at its relaxed geometry. Source: Alexandria, functional GGA-PBE.

Cell: 3.946 5.690 11.094 Å, 90.00 90.00 90.00°
Element x y z (fractional)
Ga 0.500 0.742 0.878
Zn 0.500 0.256 0.875
Ga 0.500 0.258 0.122
Zn 0.000 0.998 0.755
Zn 0.000 0.498 0.745
Ga 0.500 0.758 0.378
Zn 0.000 0.500 0.500
Zn 0.500 0.244 0.375
Zn 0.000 0.502 0.255
Li 0.000 0.000 0.500
Zn 0.500 0.744 0.125
Zn 0.500 0.756 0.625
Li 0.000 0.500 0.000
Ga 0.500 0.242 0.622
Zn 0.000 0.000 0.000
Zn 0.000 0.002 0.245



5.
Crystalline BaBeTc2 at its relaxed geometry. Source: Alexandria, functional GGA-PBE.

Cell: 3.199 3.199 7.525 Å, 90.00 90.00 90.00°
Element x y z (fractional)
Tc 0.000 0.000 0.604
Ba 0.500 0.500 0.250
Tc 0.000 0.000 0.896
Be 0.500 0.500 0.750



6.
Crystalline SmErBeCd at its relaxed geometry. Source: Alexandria, functional GGA-PBE.

Cell: 5.126 5.126 5.126 Å, 60.00 60.00 60.00°
Element x y z (fractional)
Cd 0.000 0.000 0.000
Sm 0.750 0.750 0.750
Er 0.250 0.250 0.250
Be 0.500 0.500 0.500



7.
Crystalline PrGaNi2 at its relaxed geometry. Source: Alexandria, functional GGA-PBE.

Cell: 4.058 7.154 9.892 Å, 90.00 90.00 90.00°
Element x y z (fractional)
Ni 0.250 0.279 0.073
Ni 0.750 0.721 0.927
Ni 0.250 0.346 0.678
Pr 0.750 0.155 0.865
Ni 0.250 0.779 0.427
Pr 0.750 0.655 0.635
Ni 0.750 0.221 0.573
Pr 0.250 0.345 0.365
Ni 0.750 0.654 0.322
Ga 0.750 0.483 0.108
Pr 0.250 0.845 0.135
Ga 0.750 0.983 0.392
Ni 0.250 0.846 0.822
Ga 0.250 0.017 0.608
Ga 0.250 0.517 0.892
Ni 0.750 0.154 0.178



8.
Crystalline SrCuP at its relaxed geometry. Source: Alexandria, functional GGA-PBE.

Cell: 4.024 4.041 9.462 Å, 90.00 102.28 90.00°
Element x y z (fractional)
Cu 0.250 0.250 0.500
Sr 0.882 0.250 0.764
Sr 0.118 0.750 0.236
P 0.676 0.250 0.351
Cu 0.750 0.750 0.500
P 0.324 0.750 0.649



no.,mass density (g cm⁻³),energy relative to the elements (eV per atom),total energy (eV for the cell shown)
1,10.09,0.1162,-34.479
2,9.48,-0.9346,-74.818
3,7.87,-0.0199,-36.034
4,6.31,-0.0619,-29.666
5,7.38,0.5853,-24.040
6,7.65,-0.0220,-14.011
7,7.59,-0.4421,-84.550
8,4.02,-0.6153,-26.067